Compound: Na3Sn5Cl12
Source: the Alexandria database
Functional: PBE
Structure: optimized geometry

Values from the calculation:
- Formation energy (no corrections): -1036 meV/atom
- Space-group type: Ia-3d, No. 230

Cell lengths 15.3046, 15.3046, 15.3046 Å; angles 109.47, 109.47, 109.47 degrees
Last column: magnetic moment on the atom in μB.
Atoms (fractional coordinates):
Sn (0.2500, 0.8750, 0.1250)  0.12
Sn (0.8750, 0.6250, 0.7500)  0.12
Cl (0.8513, 0.3002, 0.4634)  0.01
Cl (0.3002, 0.8513, 0.9634)  0.01
Cl (0.4634, 0.8002, 0.8513)  0.01
Sn (0.5000, 0.0000, 0.5000)  0.01
Sn (0.5000, 0.0000, 0.0000)  0.01
Cl (0.4490, 0.1487, 0.6121)  0.01
Cl (0.6121, 0.6487, 0.4490)  0.01
Sn (0.6250, 0.7500, 0.8750)  0.12
Na (0.8750, 0.1250, 0.2500)  0.00
Cl (0.6487, 0.0366, 0.1998)  0.01
Cl (0.8369, 0.9490, 0.3002)  0.01
Sn (0.1250, 0.7500, 0.3750)  0.12
Cl (0.1631, 0.1121, 0.9634)  0.01
Cl (0.0366, 0.3879, 0.8369)  0.01
Cl (0.8002, 0.3369, 0.9490)  0.01
Na (0.2500, 0.1250, 0.3750)  0.00
Sn (0.6250, 0.8750, 0.2500)  0.12
Cl (0.9490, 0.8369, 0.8002)  0.01
Cl (0.5366, 0.3369, 0.8879)  0.01
Cl (0.9490, 0.1121, 0.6487)  0.01
Cl (0.3002, 0.4490, 0.8369)  0.01
Cl (0.6631, 0.1998, 0.5510)  0.01
Cl (0.6998, 0.1487, 0.0366)  0.01
Cl (0.9634, 0.6121, 0.1631)  0.01
Sn (0.8750, 0.2500, 0.6250)  0.12
Cl (0.3879, 0.0366, 0.3369)  0.01
Na (0.1250, 0.2500, 0.8750)  0.00
Cl (0.9634, 0.3513, 0.3002)  0.01
Sn (0.3750, 0.2500, 0.1250)  0.12
Cl (0.3513, 0.9634, 0.8002)  0.01
Cl (0.8879, 0.0510, 0.8513)  0.01
Cl (0.5510, 0.8513, 0.3879)  0.01
Cl (0.0510, 0.8879, 0.3513)  0.01
Cl (0.1487, 0.4490, 0.1121)  0.01
Sn (0.5000, 0.5000, 0.5000)  0.01
Cl (0.4634, 0.6631, 0.1121)  0.01
Cl (0.3369, 0.5366, 0.3879)  0.01
Cl (0.0366, 0.6487, 0.6998)  0.01
Cl (0.1998, 0.6631, 0.0510)  0.01
Sn (0.2500, 0.3750, 0.6250)  0.12
Sn (0.0000, 0.5000, 0.5000)  0.01
Sn (0.5000, 0.5000, 0.0000)  0.01
Cl (0.8369, 0.8879, 0.0366)  0.01
Na (0.8750, 0.7500, 0.1250)  0.00
Cl (0.3513, 0.3879, 0.0510)  0.01
Na (0.2500, 0.6250, 0.8750)  0.00
Cl (0.1487, 0.6998, 0.5366)  0.01
Cl (0.3879, 0.3513, 0.5510)  0.01
Sn (0.3750, 0.1250, 0.7500)  0.12
Sn (0.7500, 0.6250, 0.3750)  0.12
Sn (0.1250, 0.3750, 0.2500)  0.12
Cl (0.6487, 0.6121, 0.9490)  0.01
Cl (0.5510, 0.6998, 0.6631)  0.01
Cl (0.6121, 0.9634, 0.6631)  0.01
Sn (0.0000, 0.5000, 0.0000)  0.01
Cl (0.1998, 0.5366, 0.6487)  0.01
Na (0.6250, 0.2500, 0.3750)  0.00
Cl (0.5366, 0.1998, 0.1487)  0.01
Cl (0.3369, 0.8002, 0.4490)  0.01
Cl (0.8879, 0.8369, 0.5366)  0.01
Na (0.6250, 0.3750, 0.7500)  0.00
Sn (0.0000, 0.0000, 0.0000)  0.01
Cl (0.4490, 0.3002, 0.3369)  0.01
Cl (0.1631, 0.0510, 0.6998)  0.01
Na (0.7500, 0.8750, 0.6250)  0.00
Na (0.7500, 0.3750, 0.1250)  0.00
Na (0.1250, 0.8750, 0.7500)  0.00
Cl (0.1121, 0.9490, 0.1487)  0.01
Sn (0.0000, 0.0000, 0.5000)  0.01
Cl (0.0510, 0.1631, 0.1998)  0.01
Sn (0.7500, 0.1250, 0.8750)  0.12
Na (0.3750, 0.7500, 0.6250)  0.00
Cl (0.8513, 0.5510, 0.8879)  0.01
Cl (0.8002, 0.4634, 0.3513)  0.01
Na (0.3750, 0.6250, 0.2500)  0.00
Cl (0.6998, 0.5510, 0.1631)  0.01
Cl (0.6631, 0.4634, 0.6121)  0.01
Cl (0.1121, 0.1631, 0.4634)  0.01